## LaNdRuCl (PBE)

Data for a geometry-optimized LaNdRuCl structure.

a = 4.0628 Å, b = 4.0628 Å, c = 23.3845 Å
α = 90.00°, β = 90.00°, γ = 120.00°
Last column: nearest neighbours and their distance in Å.
Sites, in units of the cell vectors:
La (0.0000, 0.0000, 0.0000)  3 Ru 2.79
La (0.3333, 0.6667, 0.6667)  3 Ru 2.79
La (0.6667, 0.3333, 0.3333)  3 Ru 2.79
Nd (0.0000, 0.0000, 0.1986)  3 Ru 2.86
Nd (0.3333, 0.6667, 0.8653)  3 Ru 2.86
Nd (0.6667, 0.3333, 0.5320)  3 Ru 2.86
Ru (0.0000, 0.0000, 0.6020)  3 La 2.79, 3 Nd 2.86
Ru (0.3333, 0.6667, 0.2686)  3 La 2.79, 3 Nd 2.86
Ru (0.6667, 0.3333, 0.9353)  3 La 2.79, 3 Nd 2.86
Cl (0.0000, 0.0000, 0.7718)  3 Nd 3.21, 3 La 3.40
Cl (0.3333, 0.6667, 0.4384)  3 Nd 3.21, 3 La 3.40
Cl (0.6667, 0.3333, 0.1051)  3 Nd 3.21, 3 La 3.40

## Properties
**Density of states at the Fermi level**: 0.69 states/eV per atom
**Total DFT energy (no corrections)**: -6.11 eV/atom
**E_form (uncorrected)**: -0.91 eV per atom
**Total magnetic moment**: 0.00 μB per cell

## KAc2DyTe4 (PBE)

Data for a geometry-optimized KAc2DyTe4 structure.

a = 8.0323 Å, b = 4.6295 Å, c = 8.1809 Å
α = 90.00°, β = 108.92°, γ = 90.00°
Last column: nearest neighbours and their distance in Å.
Sites, in units of the cell vectors:
K (0.0000, 0.0000, 0.0000)  6 Te 3.30-3.32
Ac (0.5000, 0.0000, 0.5000)  6 Te 3.29-3.31
Ac (0.5000, 0.5000, 0.0000)  6 Te 3.42
Dy (0.0000, 0.5000, 0.5000)  6 Te 3.18-3.19
Te (0.2319, 0.0000, 0.7333)  2 Dy 3.19, 1 K 3.30, 3 Ac 3.31-3.42
Te (0.2429, 0.5000, 0.2614)  1 Dy 3.18, 3 Ac 3.29-3.42, 2 K 3.32
Te (0.7571, 0.5000, 0.7386)  1 Dy 3.18, 3 Ac 3.29-3.42, 2 K 3.32
Te (0.7681, 0.0000, 0.2667)  2 Dy 3.19, 1 K 3.30, 3 Ac 3.31-3.42

## Properties
**Density of states at the Fermi level**: 0.40 states/eV per atom
**Total DFT energy (no corrections)**: -4.70 eV/atom
**E_form (uncorrected)**: -1.39 eV per atom
**Total magnetic moment**: 0.00 μB per cell

## Pr4Se3Br (PBE)

Data for a geometry-optimized Pr4Se3Br structure.

a = 14.6117 Å, b = 14.6117 Å, c = 14.6117 Å
α = 16.70°, β = 16.70°, γ = 16.70°
Last column: nearest neighbours and their distance in Å.
Sites, in units of the cell vectors:
Pr (0.1179, 0.1179, 0.1179)  3 Se 2.92, 3 Br 3.23
Pr (0.3758, 0.3758, 0.3758)  6 Se 2.96-3.06
Pr (0.6242, 0.6242, 0.6242)  6 Se 2.96-3.06
Pr (0.8821, 0.8821, 0.8821)  3 Se 2.92, 3 Br 3.23
Se (0.0000, 0.0000, 0.0000)  6 Pr 3.06
Se (0.2523, 0.2523, 0.2523)  6 Pr 2.92-2.96
Se (0.7477, 0.7477, 0.7477)  6 Pr 2.92-2.96
Br (0.5000, 0.5000, 0.5000)  6 Pr 3.23

## Properties
**Density of states at the Fermi level**: 0.62 states/eV per atom
**Total DFT energy (no corrections)**: -5.56 eV/atom
**E_form (uncorrected)**: -1.65 eV per atom
**Total magnetic moment**: 0.00 μB per cell

## TlTc2P (PBE)

Data for a geometry-optimized TlTc2P structure.

a = 4.4445 Å, b = 4.4445 Å, c = 3.1932 Å
α = 90.00°, β = 90.00°, γ = 90.00°
Last column: nearest neighbours and their distance in Å.
Sites, in units of the cell vectors:
Tl (0.0000, 0.0000, 0.0000)  8 Tc 2.74
Tc (0.0000, 0.5000, 0.5000)  4 Tl 2.74, 4 P 2.74
Tc (0.5000, 0.0000, 0.5000)  4 Tl 2.74, 4 P 2.74
P (0.5000, 0.5000, 0.0000)  8 Tc 2.74

## Properties
**Density of states at the Fermi level**: 1.29 states/eV per atom
**Polymorph energy (0 for the lowest one)**: 525 meV per atom
**Total DFT energy (no corrections)**: -6.56 eV/atom
**Calculated formation energy**: 569.2 meV per atom
**Total magnetic moment**: 0.01 μB per cell

## GaSnAu (PBE)

Data for a geometry-optimized GaSnAu structure.

a = 6.0048 Å, b = 3.5512 Å, c = 6.2908 Å
α = 90.00°, β = 91.56°, γ = 90.00°
Last column: nearest neighbours and their distance in Å.
Sites, in units of the cell vectors:
Ga (0.2127, 0.0000, 0.3235)  3 Au 2.69-2.70
Ga (0.7873, 0.0000, 0.6765)  3 Au 2.69-2.70
Sn (0.1755, 0.5000, 0.8127)  3 Au 2.81-2.87, 2 Ga 3.03
Sn (0.8245, 0.5000, 0.1873)  3 Au 2.81-2.87, 2 Ga 3.03
Au (0.5000, 0.0000, 0.0000)  2 Ga 2.70, 4 Sn 2.87
Au (0.5000, 0.5000, 0.5000)  4 Ga 2.69, 2 Sn 2.81

## Properties
**Density of states at the Fermi level**: 0.37 states/eV per atom
**Total DFT energy (no corrections)**: -3.54 eV/atom
**Calculated formation energy**: -100.9 meV per atom
**Total magnetic moment**: 0.00 μB per cell

## Cs2YSeCl6 (PBE)

Data for a geometry-optimized Cs2YSeCl6 structure.

a = 8.3069 Å, b = 8.3069 Å, c = 8.3069 Å
α = 126.06°, β = 126.06°, γ = 79.80°
Last column: nearest neighbours and their distance in Å.
Sites, in units of the cell vectors:
Cs (0.2500, 0.7500, 0.5000)  12 Cl 3.81-4.15
Cs (0.7500, 0.2500, 0.5000)  12 Cl 3.81-4.15
Y (0.0000, 0.0000, 0.0000)  6 Cl 2.63-2.65
Se (0.5000, 0.5000, 0.0000)  4 Cl 2.68
Cl (0.2060, 0.2060, 0.0000)  1 Y 2.63
Cl (0.2488, 0.2488, 0.4976)  1 Y 2.65, 1 Se 2.68
Cl (0.2488, 0.7512, 0.0000)  1 Y 2.65, 1 Se 2.68
Cl (0.7512, 0.2488, 0.0000)  1 Y 2.65, 1 Se 2.68
Cl (0.7512, 0.7512, 0.5024)  1 Y 2.65, 1 Se 2.68
Cl (0.7940, 0.7940, 0.0000)  1 Y 2.63

## Properties
**Density of states at the Fermi level**: 0.26 states/eV per atom
**Total DFT energy (no corrections)**: -3.85 eV/atom
**E_form (uncorrected)**: -1.58 eV per atom
**Total magnetic moment**: 1.00 μB per cell

## Pm12Ni6Ag (PBE)

Data for a geometry-optimized Pm12Ni6Ag structure.

a = 8.6093 Å, b = 8.6093 Å, c = 8.6093 Å
α = 109.47°, β = 109.47°, γ = 109.47°
Last column: nearest neighbours and their distance in Å.
Sites, in units of the cell vectors:
Pm (0.1188, 0.3050, 0.8138)  3 Ni 2.71-2.94
Pm (0.1862, 0.4912, 0.3050)  3 Ni 2.71-2.94
Pm (0.1862, 0.8812, 0.6950)  3 Ni 2.71-2.94
Pm (0.3050, 0.1862, 0.4912)  3 Ni 2.71-2.94
Pm (0.3050, 0.8138, 0.1188)  3 Ni 2.71-2.94
Pm (0.4912, 0.3050, 0.1862)  3 Ni 2.71-2.94
Pm (0.5088, 0.6950, 0.8138)  3 Ni 2.71-2.94
Pm (0.6950, 0.1862, 0.8812)  3 Ni 2.71-2.94
Pm (0.6950, 0.8138, 0.5088)  3 Ni 2.71-2.94
Pm (0.8138, 0.1188, 0.3050)  3 Ni 2.71-2.94
Pm (0.8138, 0.5088, 0.6950)  3 Ni 2.71-2.94
Pm (0.8812, 0.6950, 0.1862)  3 Ni 2.71-2.94
Ni (0.1226, 0.5000, 0.6226)  1 Ni 2.44, 2 Pm 2.71
Ni (0.3774, 0.8774, 0.5000)  1 Ni 2.44, 2 Pm 2.71
Ni (0.5000, 0.3774, 0.8774)  1 Ni 2.44, 2 Pm 2.71
Ni (0.5000, 0.6226, 0.1226)  1 Ni 2.44, 2 Pm 2.71
Ni (0.6226, 0.1226, 0.5000)  1 Ni 2.44, 2 Pm 2.71
Ni (0.8774, 0.5000, 0.3774)  1 Ni 2.44, 2 Pm 2.71
Ag (0.0000, 0.0000, 0.0000)  12 Pm 3.55

## Properties
**Density of states at the Fermi level**: 1.06 states/eV per atom
**Total DFT energy (no corrections)**: -5.22 eV/atom
**Calculated formation energy**: -248.6 meV per atom
**Total magnetic moment**: 0.00 μB per cell

## NaSrTl2I5 (PBE)

Data for a geometry-optimized NaSrTl2I5 structure.

a = 10.5196 Å, b = 10.5196 Å, c = 16.1716 Å
α = 90.00°, β = 90.00°, γ = 153.44°
Last column: nearest neighbours and their distance in Å.
Sites, in units of the cell vectors:
Na (0.0495, 0.9505, 0.5000)  5 I 3.06-3.40
Na (0.9505, 0.0495, 0.0000)  5 I 3.06-3.40
Sr (0.2696, 0.7304, 0.0793)  6 I 3.26-3.34
Sr (0.7304, 0.2696, 0.5793)  6 I 3.26-3.34
Tl (0.3762, 0.6238, 0.3348)  5 I 3.47-3.84
Tl (0.4150, 0.5850, 0.7041)  6 I 3.52-3.62
Tl (0.5850, 0.4150, 0.2041)  6 I 3.52-3.62
Tl (0.6238, 0.3762, 0.8348)  5 I 3.47-3.84
I (0.0025, 0.9975, 0.8226)  1 Na 3.06
I (0.1122, 0.8878, 0.0481)  1 Sr 3.26, 1 Na 3.40, 2 Tl 3.54
I (0.2042, 0.7958, 0.4453)  1 Na 3.29, 2 Sr 3.29
I (0.2389, 0.7611, 0.7217)  2 Sr 3.34, 1 Tl 3.62
I (0.4279, 0.5721, 0.1162)  2 Na 3.10, 1 Sr 3.30
I (0.5721, 0.4279, 0.6162)  2 Na 3.10, 1 Sr 3.30
I (0.7611, 0.2389, 0.2217)  2 Sr 3.34, 1 Tl 3.62
I (0.7958, 0.2042, 0.9453)  1 Na 3.29, 2 Sr 3.29
I (0.8878, 0.1122, 0.5481)  1 Sr 3.26, 1 Na 3.40, 2 Tl 3.54
I (0.9975, 0.0025, 0.3226)  1 Na 3.06

## Properties
**Density of states at the Fermi level**: 0.00 states/eV per atom
**Total DFT energy (no corrections)**: -2.84 eV/atom
**E_form (uncorrected)**: -1.12 eV per atom
**Total magnetic moment**: 0.00 μB per cell

## CsBaRh3 (PBE)

Data for a geometry-optimized CsBaRh3 structure.

a = 5.3838 Å, b = 5.3838 Å, c = 5.3838 Å
α = 90.00°, β = 90.00°, γ = 90.00°
Last column: nearest neighbours and their distance in Å.
Sites, in units of the cell vectors:
Cs (0.0000, 0.0000, 0.0000)  12 Rh 3.81
Ba (0.5000, 0.5000, 0.5000)  6 Rh 2.69
Rh (0.0000, 0.5000, 0.5000)  2 Ba 2.69
Rh (0.5000, 0.0000, 0.5000)  2 Ba 2.69
Rh (0.5000, 0.5000, 0.0000)  2 Ba 2.69

## Properties
**Density of states at the Fermi level**: 1.39 states/eV per atom
**Polymorph energy (0 for the lowest one)**: 123 meV per atom
**Total DFT energy (no corrections)**: -3.58 eV/atom
**Calculated formation energy**: 1389.3 meV per atom
**Total magnetic moment**: 1.56 μB per cell

## Si2As (PBE)

Data for a geometry-optimized Si2As structure.

a = 3.7449 Å, b = 10.9126 Å, c = 5.1075 Å
α = 90.00°, β = 90.00°, γ = 90.00°
Last column: nearest neighbours and their distance in Å.
Sites, in units of the cell vectors:
Si (0.0000, 0.0067, 0.2500)  4 Si 2.50-2.56, 2 As 2.72
Si (0.0000, 0.3413, 0.7500)  2 Si 2.50, 4 As 2.56-2.62
Si (0.0000, 0.6587, 0.2500)  2 Si 2.50, 4 As 2.56-2.62
Si (0.0000, 0.9933, 0.7500)  4 Si 2.50-2.56, 2 As 2.72
Si (0.5000, 0.1587, 0.2500)  2 Si 2.50, 4 As 2.56-2.62
Si (0.5000, 0.4933, 0.7500)  4 Si 2.50-2.56, 2 As 2.72
Si (0.5000, 0.5067, 0.2500)  4 Si 2.50-2.56, 2 As 2.72
Si (0.5000, 0.8413, 0.7500)  2 Si 2.50, 4 As 2.56-2.62
As (0.0000, 0.3263, 0.2500)  6 Si 2.56-2.72
As (0.0000, 0.6737, 0.7500)  6 Si 2.56-2.72
As (0.5000, 0.1737, 0.7500)  6 Si 2.56-2.72
As (0.5000, 0.8263, 0.2500)  6 Si 2.56-2.72

## Properties
**Density of states at the Fermi level**: 0.32 states/eV per atom
**Polymorph energy (0 for the lowest one)**: 89 meV per atom
**Total DFT energy (no corrections)**: -4.92 eV/atom
**E_form (uncorrected)**: 0.25 eV per atom
**Total magnetic moment**: 0.00 μB per cell

## Rb2Sn2Cl5 (PBE)

Data for a geometry-optimized Rb2Sn2Cl5 structure.

a = 12.2710 Å, b = 12.2710 Å, c = 12.2710 Å
α = 51.62°, β = 142.57°, γ = 145.77°
Last column: nearest neighbours and their distance in Å.
Sites, in units of the cell vectors:
Rb (0.0496, 0.1406, 0.1902)  5 Cl 3.25-3.52
Rb (0.0496, 0.3594, 0.4090)  5 Cl 3.25-3.52
Rb (0.9504, 0.6406, 0.5910)  5 Cl 3.25-3.52
Rb (0.9504, 0.8594, 0.8098)  5 Cl 3.25-3.52
Sn (0.3810, 0.7980, 0.0831)  3 Cl 2.63-2.84
Sn (0.5407, 0.0407, 0.5000)  4 Cl 2.67-2.89
Sn (0.5407, 0.5407, 0.0000)  4 Cl 2.67-2.89
Sn (0.7149, 0.2980, 0.9169)  3 Cl 2.63-2.84
Cl (0.0684, 0.2382, 0.7487)  1 Sn 2.67
Cl (0.0684, 0.8197, 0.3302)  1 Sn 2.67
Cl (0.2350, 0.0971, 0.6379)  1 Sn 2.63
Cl (0.4435, 0.6933, 0.9951)  2 Sn 2.84-2.89
Cl (0.4435, 0.9483, 0.2502)  2 Sn 2.84-2.89
Cl (0.4591, 0.5971, 0.3621)  1 Sn 2.63
Cl (0.4895, 0.3197, 0.2513)  1 Sn 2.67
Cl (0.4895, 0.7382, 0.6698)  1 Sn 2.67
Cl (0.6981, 0.1933, 0.7498)  2 Sn 2.84-2.89
Cl (0.6981, 0.4483, 0.0049)  2 Sn 2.84-2.89

## Properties
**Total DFT energy (no corrections)**: -3.41 eV/atom
**E_form (uncorrected)**: -1.28 eV per atom
**Total magnetic moment**: 0.00 μB per cell

## Li8Hg3 (PBE)

Data for a geometry-optimized Li8Hg3 structure.

a = 6.2029 Å, b = 6.2029 Å, c = 6.2029 Å
α = 87.14°, β = 87.14°, γ = 87.14°
Last column: nearest neighbours and their distance in Å.
Sites, in units of the cell vectors:
Li (0.1166, 0.1166, 0.1166)  3 Hg 2.53, 1 Li 2.63
Li (0.1980, 0.3461, 0.6254)  2 Hg 2.69-2.76
Li (0.3461, 0.6254, 0.1980)  2 Hg 2.69-2.76
Li (0.3746, 0.8020, 0.6539)  2 Hg 2.69-2.76
Li (0.6254, 0.1980, 0.3461)  2 Hg 2.69-2.76
Li (0.6539, 0.3746, 0.8020)  2 Hg 2.69-2.76
Li (0.8020, 0.6539, 0.3746)  2 Hg 2.69-2.76
Li (0.8834, 0.8834, 0.8834)  3 Hg 2.53, 1 Li 2.63
Hg (0.0000, 0.0000, 0.5000)  6 Li 2.53-2.76
Hg (0.0000, 0.5000, 0.0000)  6 Li 2.53-2.76
Hg (0.5000, 0.0000, 0.0000)  6 Li 2.53-2.76

## Properties
**Density of states at the Fermi level**: 0.34 states/eV per atom
**Polymorph energy (0 for the lowest one)**: 168 meV per atom
**Total DFT energy (no corrections)**: -1.59 eV/atom
**Calculated formation energy**: -119.2 meV per atom
**Total magnetic moment**: 0.00 μB per cell